Density functional theory data (GGA-PBE) for an optimized crystal structure of Y2Ho3Er6Zr.

Lattice parameters (Å, degrees): 6.0534 10.4659 11.5567 90.00 99.98 90.00
With the nearest neighbours (Å) after each atom.
Space group C2/m (No. 12)
Unique sites:
Y (0.0000, 0.1669, 0.0000) x4  6 Er 3.46, 3 Zr 3.49, 3 Y 3.49
Ho (0.0000, 0.0000, 0.5000) x2  6 Ho 3.49, 6 Er 3.51-3.55
Ho (0.0000, 0.3334, 0.5000) x4  6 Ho 3.49, 6 Er 3.51-3.55
Er (0.2445, 0.5000, 0.7545) x4  6 Er 3.42-3.53, 1 Zr 3.42, 2 Y 3.46, 3 Ho 3.52-3.55
Er (0.2446, 0.3369, 0.2460) x8  6 Er 3.41-3.53, 1 Zr 3.43, 2 Y 3.46, 3 Ho 3.51-3.55
Zr (0.0000, 0.5000, 0.0000) x2  6 Er 3.42-3.43, 6 Y 3.49

**Density of states at the Fermi level**: 1.28 states/eV per atom
**Calculated density**: 8.14 Mg/m³
**DFT formation energy**: 0.04 eV per atom

=====

Density functional theory data (GGA-PBE) for an optimized crystal structure of Pm2Ho9Er.

Lattice parameters (Å, degrees): 11.2047 11.2047 3.4823 90.00 90.00 120.00
With the nearest neighbours (Å) after each atom.
Space group P6/mmm (No. 191)
Unique sites:
Pm (0.3333, 0.6667, 0.0000) x2  9 Ho 3.23-3.55, 2 Pm 3.48
Ho (0.0000, 0.5000, 0.0000) x3  2 Pm 3.23, 10 Ho 3.48-3.61
Ho (0.1738, 0.3476, 0.5000) x6  8 Ho 3.37-3.61, 2 Pm 3.55
Er (0.0000, 0.0000, 0.0000) x1  2 Er 3.48, 12 Ho 3.80

**Density of states at the Fermi level**: 1.69 states/eV per atom
**Calculated density**: 8.52 Mg/m³
**DFT formation energy**: 0.07 eV per atom

=====

Density functional theory data (GGA-PBE) for an optimized crystal structure of Nd5SmY2Ho.

Lattice parameters (Å, degrees): 5.6950 20.4928 10.7439 90.00 90.00 90.00
With the nearest neighbours (Å) after each atom.
Space group Cmc2_1 (No. 36)
Unique sites:
Nd (0.0000, 0.0174, 0.0000) x4  2 Ho 3.28, 3 Y 3.50-3.60
Nd (0.0000, 0.2817, 0.2876) x4  1 Ho 3.08, 1 Y 3.38
Nd (0.0000, 0.2961, 0.6816) x4  3 Nd 3.46-3.80, 1 Ho 3.49, 3 Sm 3.53-3.82, 3 Y 3.58-3.82
Nd (0.0000, 0.3915, 0.0033) x4  5 Nd 3.52-3.84, 4 Y 3.62-3.65, 1 Sm 3.90
Nd (0.0000, 0.4802, 0.7225) x4  2 Ho 3.24-3.37, 2 Nd 3.52-3.53, 2 Y 3.56
Sm (0.0000, 0.2016, 0.9876) x4  2 Y 3.46-3.74, 7 Nd 3.53-3.82, 2 Ho 3.68
Y (0.0000, 0.1108, 0.7157) x4  1 Sm 3.46, 7 Nd 3.50-3.82, 2 Ho 3.75
Y (0.0000, 0.1166, 0.2960) x4  9 Nd 3.38-3.77, 1 Sm 3.74
Ho (0.0000, 0.4095, 0.4389) x4  5 Nd 3.08-3.37

**Density of states at the Fermi level**: 1.61 states/eV per atom
**Calculated density**: 6.43 Mg/m³
**DFT formation energy**: 0.14 eV per atom

=====

Density functional theory data (GGA-PBE) for an optimized crystal structure of FeOsIBr2.

Lattice parameters (Å, degrees): 4.7256 4.7256 5.4296 90.00 90.00 90.00
With the nearest neighbours (Å) after each atom.
Space group P4/mmm (No. 123)
Unique sites:
Fe (0.0000, 0.0000, 0.0000) x1  4 Br 2.36
Os (0.5000, 0.5000, 0.5000) x1  4 I 3.34, 8 Br 3.60
I (0.0000, 0.0000, 0.5000) x1  2 Fe 2.71
Br (0.0000, 0.5000, 0.0000) x2  2 Fe 2.36

**Density of states at the Fermi level**: 2.62 states/eV per atom
**Calculated density**: 7.30 Mg/m³
**E_form (uncorrected)**: 1531 meV per atom

=====

Density functional theory data (GGA-PBE) for an optimized crystal structure of LiGdDy.

Lattice parameters (Å, degrees): 3.4831 3.4831 8.3422 90.00 90.00 120.00
With the nearest neighbours (Å) after each atom.
Space group P3m1 (No. 156)
Unique sites:
Li (0.0000, 0.0000, 0.0000) x1  3 Dy 3.40, 3 Gd 3.43, 6 Li 3.48
Gd (0.6667, 0.3333, 0.3332) x1  3 Li 3.43, 3 Dy 3.47, 6 Gd 3.48
Dy (0.3333, 0.6667, 0.6720) x1  3 Li 3.40, 3 Gd 3.47, 6 Dy 3.48

**Density of states at the Fermi level**: 1.23 states/eV per atom
**Calculated density**: 6.19 Mg/m³
**DFT formation energy**: 0.11 eV per atom

=====

Density functional theory data (GGA-PBE) for an optimized crystal structure of Ag2H3Pt2.

Lattice parameters (Å, degrees): 10.9615 2.8980 5.3220 90.00 110.03 90.00
With the nearest neighbours (Å) after each atom.
Space group C2/m (No. 12)
Unique sites:
Ag (0.1035, 0.0000, 0.2477) x4  1 H 2.19
H (0.0000, 0.5000, 0.5000) x2  2 Pt 1.76
H (0.1957, 0.0000, 0.6835) x4  2 Pt 1.76
Pt (0.1385, 0.5000, 0.7928) x4  3 H 1.76

**Density of states at the Fermi level**: 0.22 states/eV per atom
**Calculated density**: 12.73 Mg/m³
**Final energy**: -3.943 eV/atom

=====

Density functional theory data (GGA-PBE) for an optimized crystal structure of La3NdHg4.

Lattice parameters (Å, degrees): 3.8908 3.8908 15.5930 90.00 90.00 90.00
With the nearest neighbours (Å) after each atom.
Space group P4/mmm (No. 123)
Unique sites:
La (0.0000, 0.0000, 0.0000) x1  8 Hg 3.38
La (0.0000, 0.0000, 0.2530) x2  8 Hg 3.39-3.40
Nd (0.0000, 0.0000, 0.5000) x1  8 Hg 3.32
Hg (0.5000, 0.5000, 0.1259) x2  8 La 3.38-3.39
Hg (0.5000, 0.5000, 0.3806) x2  4 Nd 3.32, 4 La 3.40

**Density of states at the Fermi level**: 1.27 states/eV per atom
**Calculated density**: 9.59 Mg/m³
**DFT formation energy**: -0.49 eV per atom

=====

Density functional theory data (GGA-PBE) for an optimized crystal structure of CePaTe.

Lattice parameters (Å, degrees): 5.2965 5.2965 3.5553 90.00 90.00 120.00
With the nearest neighbours (Å) after each atom.
Space group P-6m2 (No. 187)
Unique sites:
Ce (0.0000, 0.0000, 0.0000) x1  6 Te 3.54, 6 Pa 3.54, 2 Ce 3.56
Pa (0.3333, 0.6667, 0.5000) x1  3 Te 3.06
Te (0.6667, 0.3333, 0.5000) x1  3 Pa 3.06

**Density of states at the Fermi level**: 2.51 states/eV per atom
**Calculated density**: 9.59 Mg/m³
**E_form (uncorrected)**: -119 meV per atom

=====

Density functional theory data (GGA-PBE) for an optimized crystal structure of Nd4ThSe5.

Lattice parameters (Å, degrees): 9.4449 9.4449 5.9745 90.00 90.00 90.00
With the nearest neighbours (Å) after each atom.
Space group I4/m (No. 87)
Unique sites:
Nd (0.0953, 0.3010, 0.0000) x8  6 Se 2.97-3.01
Th (0.0000, 0.0000, 0.5000) x2  6 Se 2.96-2.99
Se (0.0000, 0.0000, 0.0000) x2  4 Nd 2.98, 2 Th 2.99
Se (0.1009, 0.2969, 0.5000) x8  1 Th 2.96, 5 Nd 2.97-3.01

**Density of states at the Fermi level**: 0.59 states/eV per atom
**Calculated density**: 7.50 Mg/m³
**E_form (uncorrected)**: -1773 meV per atom

=====

Density functional theory data (GGA-PBE) for an optimized crystal structure of Rb3AgHg2Br8.

Lattice parameters (Å, degrees): 7.9456 7.9456 9.9799 90.00 90.00 120.00
With the nearest neighbours (Å) after each atom.
Space group P-3m1 (No. 164)
Unique sites:
Rb (0.0000, 0.0000, 0.0000) x1  6 Br 3.88
Rb (0.3333, 0.6667, 0.5977) x2  4 Br 3.36-3.66
Ag (0.0000, 0.0000, 0.5000) x1  6 Br 2.84
Hg (0.3333, 0.6667, 0.1906) x2  4 Br 2.56-2.71
Br (0.1599, 0.3198, 0.3199) x6  1 Hg 2.71, 1 Ag 2.84
Br (0.3333, 0.6667, 0.9339) x2  1 Hg 2.56

**Calculated density**: 4.27 Mg/m³
**E_form (uncorrected)**: -975 meV per atom

=====

Density functional theory data (GGA-PBE) for an optimized crystal structure of Pm6Rh3Se2Br.

Lattice parameters (Å, degrees): 18.8963 4.0431 8.8031 90.00 109.53 90.00
With the nearest neighbours (Å) after each atom.
Space group C2/m (No. 12)
Unique sites:
Pm (0.0040, 0.0000, 0.2227) x4  3 Rh 2.80-2.84, 1 Se 3.08
Pm (0.1631, 0.5000, 0.0909) x4  3 Rh 2.89-2.91, 3 Se 3.09-3.10
Pm (0.1791, 0.5000, 0.5701) x4  3 Rh 2.80-2.90, 2 Se 3.10
Rh (0.0000, 0.5000, 0.0000) x2  6 Pm 2.80-2.91
Rh (0.1636, 0.0000, 0.3253) x4  6 Pm 2.80-2.90
Se (0.1648, 0.0000, 0.8251) x4  6 Pm 3.08-3.10
Br (0.0000, 0.5000, 0.5000) x2  6 Pm 3.19-3.23

**Density of states at the Fermi level**: 0.62 states/eV per atom
**Calculated density**: 7.42 Mg/m³
**E_form (uncorrected)**: -1160 meV per atom

=====

Density functional theory data (GGA-PBE) for an optimized crystal structure of LiHfNbTl2.

Lattice parameters (Å, degrees): 4.6352 4.6352 4.7908 90.00 90.00 90.00
With the nearest neighbours (Å) after each atom.
Space group P4/mmm (No. 123)
Unique sites:
Li (0.0000, 0.0000, 0.0000) x1  4 Tl 2.32, 2 Nb 2.40
Hf (0.5000, 0.5000, 0.5000) x1  4 Nb 3.28, 8 Tl 3.33
Nb (0.0000, 0.0000, 0.5000) x1  2 Li 2.40
Tl (0.0000, 0.5000, 0.0000) x2  2 Li 2.32

**Density of states at the Fermi level**: 0.46 states/eV per atom
**Calculated density**: 11.08 Mg/m³
**DFT formation energy**: 0.70 eV per atom